Entry 1:
Computed, not measured: a PBEsol-optimized structure of CrAgHg2 at the SCAN level of DFT.

Cell lengths 3.2021, 3.2021, 7.0413 Å; angles 90.00, 90.00, 90.00 degrees
Fractional coordinates of all 4 atoms:
Cr1 0.0000 0.0000 0.0000
Ag1 0.0000 0.0000 0.5000
Hg1 0.5000 0.5000 0.2425
Hg2 0.5000 0.5000 0.7575

Output
Space group: P4/mmm, No. 123
Formation enthalpy at 0 K (eV per formula unit): 0.46
DFT total energy (eV per cell): -185.6

***

Entry 2:
Computed, not measured: a PBEsol-optimized structure of CrAg4Hg at the SCAN level of DFT.

Cell lengths 5.3630, 5.3630, 5.3630 Å; angles 60.00, 60.00, 60.00 degrees
Fractional coordinates of all 6 atoms:
Cr1 0.0000 0.0000 0.0000
Ag1 0.1245 0.6252 0.6252
Ag2 0.6252 0.1245 0.6252
Ag3 0.6252 0.6252 0.1245
Ag4 0.6252 0.6252 0.6252
Hg1 0.2500 0.2500 0.2500

Output
Space group: F-43m, No. 216
Formation enthalpy at 0 K (eV per formula unit): 1.32
DFT total energy (eV per cell): -210.7

***

Entry 3:
Computed, not measured: a PBEsol-optimized structure of Cr3AgHg at the SCAN level of DFT.

Cell lengths 4.9956, 4.9956, 4.9956 Å; angles 90.00, 90.00, 90.00 degrees
Fractional coordinates of all 5 atoms:
Cr1 0.0000 0.0000 0.5000
Cr2 0.0000 0.5000 0.0000
Cr3 0.5000 0.0000 0.0000
Ag1 0.5000 0.5000 0.5000
Hg1 0.0000 0.0000 0.0000

Output
Space group: Pm-3m, No. 221
Formation enthalpy at 0 K (eV per formula unit): 5.95
DFT total energy (eV per cell): -148.7

***

Entry 4:
Computed, not measured: a PBEsol-optimized structure of CrAg2Hg at the SCAN level of DFT.

Cell lengths 3.0055, 3.9387, 5.8578 Å; angles 90.00, 90.00, 90.00 degrees
Fractional coordinates of all 4 atoms:
Cr1 0.0000 0.0000 0.0000
Ag1 0.5000 0.5000 0.2377
Ag2 0.5000 0.5000 0.7623
Hg1 0.0000 0.0000 0.5000

Output
Space group: Pmmm, No. 47
Formation enthalpy at 0 K (eV per formula unit): 0.64
DFT total energy (eV per cell): -148.6

***

Entry 5:
Computed, not measured: a PBEsol-optimized structure of CrAg3I at the SCAN level of DFT.

Cell lengths 5.2839, 5.2839, 5.2839 Å; angles 90.00, 90.00, 90.00 degrees
Fractional coordinates of all 5 atoms:
Cr1 0.0000 0.0000 0.0000
Ag1 0.0000 0.5000 0.5000
Ag2 0.5000 0.0000 0.5000
Ag3 0.5000 0.5000 0.0000
I1 0.5000 0.5000 0.5000

Output
Space group: Pm-3m, No. 221
Formation energy (no corrections) (eV/atom): 1.19
DFT total energy (eV per cell): -143.3

***

Entry 6:
Computed, not measured: a PBEsol-optimized structure of CrAgI2N at the SCAN level of DFT.

Cell lengths 5.4985, 5.4985, 3.5821 Å; angles 90.00, 90.00, 90.00 degrees
Fractional coordinates of all 5 atoms:
Cr1 0.0000 0.0000 0.0000
Ag1 0.5000 0.5000 0.5000
I1 0.0000 0.5000 0.0000
I2 0.5000 0.0000 0.0000
N1 0.0000 0.0000 0.5000

Output
Space group: P4/mmm, No. 123
Formation energy (no corrections) (eV/atom): 0.08
DFT total energy (eV per cell): -132.1

***

no.,theoretical density (kg/m³),calculated volume (A^3/atom),magnetization (μB/atom)
1,12904,18.05,1.010
2,10415,18.18,0.774
3,6186,24.93,2.698
4,11215,17.34,1.057
5,5656,29.50,1.046
6,6557,21.66,0.396